VASP calculation (PBE with a Hubbard U) on crystalline Zn2CrO4 at its relaxed geometry.

Unit cell a=5.928 b=5.992 c=8.628 alpha=90.00 beta=90.00 gamma=90.00
Space group Imma (No. 74)
Inequivalent atoms, fractional coordinates:
Zn (0.000, 0.250, 0.136)
Zn (0.250, 0.250, 0.750)
Cr (0.000, 0.000, 0.500)
O (0.000, 0.013, 0.723)
O (0.223, 0.250, 0.499)

Computed properties:
Calculated total energy in eV/atom: -5.740